## Pm2ScTl (PBE-GGA)

Data for Pm2ScTl after structural relaxation.

```
Pm2ScTl
1.0
0.0000 3.8689 3.8689
3.8689 0.0000 3.8689
3.8689 3.8689 0.0000
Pm Sc Tl
2 1 1
Cartesian
1.9344 1.9344 1.9344
5.8033 5.8033 5.8033
0.0000 0.0000 0.0000
3.8689 3.8689 3.8689
```

Summary:
polymorph energy (0 for the lowest one): 10.08 kJ per mole of atoms
DOS at the Fermi energy: 5.24 states/eV per cell


## SrLiC3 (PBE-GGA)

Data for SrLiC3 after structural relaxation.

```
SrLiC3
1.0
3.9812 0.0000 0.0000
0.0000 3.9812 0.0000
0.0000 0.0000 3.9812
Sr Li C
1 1 3
Cartesian
0.0000 0.0000 0.0000
1.9906 1.9906 1.9906
0.0000 1.9906 1.9906
1.9906 0.0000 1.9906
1.9906 1.9906 0.0000
```

Summary:
polymorph energy (0 for the lowest one): 0.00 kJ per mole of atoms
DOS at the Fermi energy: 3.21 states/eV per cell


## LaFe2Ge (PBE-GGA)

Data for LaFe2Ge after structural relaxation.

```
LaFe2Ge
1.0
-2.2796 2.2796 8.3895
2.2796 -2.2796 8.3895
2.2796 2.2796 -8.3895
La Fe Ge
2 4 2
Cartesian
2.2796 1.1398 2.0974
0.0000 1.1398 6.2921
0.0000 0.0000 0.0000
1.1398 1.1398 -4.1948
1.1398 -1.1398 4.1948
0.0000 2.2796 0.0000
2.2796 -1.1398 6.2921
0.0000 3.4194 2.0974
```

Summary:
DOS at the Fermi energy: 10.23 states/eV per cell


## AlMoW2 (PBE-GGA)

Data for AlMoW2 after structural relaxation.

```
AlMoW2
1.0
2.7075 0.0000 0.0000
0.0000 2.7075 0.0000
0.0000 0.0000 8.6775
Al Mo W
1 1 2
Cartesian
0.0000 0.0000 0.0000
1.3537 1.3537 2.0630
0.0000 0.0000 4.3342
1.3537 1.3537 6.6060
```

Summary:
DOS at the Fermi energy: 3.18 states/eV per cell


Respective ΔH_f (0 K) values: -0.3; 10.7; 0.2; 0.7 eV per formula unit.